PBE BaLa2Cl, optimized geometry; E above lowest polymorph = 43.9 kJ/mol of atoms; Fermi-level density of states = 1.314 states/eV/atom; energy = -3.66 eV/atom; crystal system = orthorhombic
1.0
3.137 -6.823 0.000
3.137 6.823 0.000
0.000 0.000 3.870
Ba La Cl
1 2 1
direct
0.000 0.000 0.000
0.000 0.500 0.500
0.500 0.000 0.500
0.500 0.500 0.000

---

PBE Ba2LaCl, optimized geometry; E above lowest polymorph = 5.9 kJ/mol of atoms; Fermi-level density of states = 1.562 states/eV/atom; energy = -3.35 eV/atom; crystal system = monoclinic
1.0
4.135 0.000 0.000
0.000 4.042 0.000
-0.039 0.000 11.108
Ba La Cl
2 1 1
direct
0.002 0.000 0.277
0.998 0.000 0.723
0.500 0.500 0.000
0.000 0.500 0.500

---

PBE Ba2LaCl, optimized geometry; E above lowest polymorph = 69.5 kJ/mol of atoms; Fermi-level density of states = 1.950 states/eV/atom; energy = -2.69 eV/atom; crystal system = cubic
1.0
0.000 4.420 4.420
4.420 0.000 4.420
4.420 4.420 0.000
Ba La Cl
2 1 1
direct
0.000 0.000 0.000
0.250 0.250 0.250
0.500 0.500 0.500
0.750 0.750 0.750

---

PBE Ba2LaCl6, optimized geometry; Fermi-level density of states = 0.454 states/eV/atom; energy = -4.48 eV/atom; crystal system = tetragonal
1.0
7.281 0.000 0.000
0.000 7.281 0.000
0.000 0.000 13.081
Ba La Cl
4 2 12
direct
0.000 0.000 0.174
0.000 0.000 0.826
0.500 0.500 0.326
0.500 0.500 0.674
0.000 0.000 0.500
0.500 0.500 0.000
0.204 0.204 0.348
0.204 0.204 0.652
0.218 0.218 0.000
0.282 0.718 0.500
0.296 0.704 0.152
0.296 0.704 0.848
0.704 0.296 0.152
0.704 0.296 0.848
0.718 0.282 0.500
0.782 0.782 0.000
0.796 0.796 0.348
0.796 0.796 0.652

---

Number 1: raw formation energy -0.25 eV/atom. Number 2: raw formation energy -0.69 eV/atom. Number 3: raw formation energy -0.03 eV/atom. Number 4: raw formation energy -2.27 eV/atom.